DFT (PBE) results for crystalline Pr6Co2OsCl3 at its relaxed geometry.

Lattice parameters (Å, degrees): 19.2097 4.0218 8.9695 90.00 111.71 90.00
Space group C2/m (No. 12)
Symmetry-distinct sites (fractional):
Pr 0.0110 0.0000 0.2305 [4 per cell]
Pr 0.1578 0.5000 0.1125 [4 per cell]
Pr 0.1780 0.5000 0.5578 [4 per cell]
Co 0.1697 0.0000 0.3393 [4 per cell]
Os 0.0000 0.5000 0.0000 [2 per cell]
Cl 0.0000 0.5000 0.5000 [2 per cell]
Cl 0.1660 0.0000 0.8331 [4 per cell]

Results
- Energy relative to the elements, uncorrected: -77 kJ/mol of atoms
- DOS(E_F): 9.1 states/eV per cell
- Size of the total moment: 0.00 μB per formula unit
- V: 643.8 Å³/cell